# MgInCoO4, relaxed, DFT GGA+U
# - total energy (eV per atom) = -5.77
# - excess energy over the best structure of this formula in the dataset (meV per atom) = 60
# - magnetic moment (μB/atom) = 0.57
data_MgInCoO4
_symmetry_space_group_name_H-M 'P 41 2 2'
_symmetry_Int_Tables_number 91
_cell_length_a 6.086
_cell_length_b 6.086
_cell_length_c 8.535
_cell_angle_alpha 90.00
_cell_angle_beta 90.00
_cell_angle_gamma 90.00
loop_
_symmetry_equiv_pos_as_xyz
'x,y,z'
'-y,x,z+1/4'
'-x,-y,z+1/2'
'y,-x,z+3/4'
'x,-y,-z+1/2'
'-y,-x,-z+1/4'
'-x,y,-z'
'y,x,-z+3/4'
loop_
_atom_site_label
_atom_site_fract_x
_atom_site_fract_y
_atom_site_fract_z
Mg1 0.000 0.240 0.000
In1 0.240 0.500 0.750
Co1 0.242 0.242 0.375
O1 0.000 0.241 0.242
O2 0.240 0.488 0.005